# In2FeNi

A geometry-optimized In2FeNi structure (PBE, the Alexandria database).

Calculated values
The density of states at the Fermi level is 3.843 states/eV per cell. As for the energy relative to the elements: 0.158 eV per atom.

Cell lengths 5.3106, 5.3106, 4.5897 Å; angles 72.39, 72.39, 32.54 degrees
With the nearest neighbours (Å) after each atom.
Positions (direct):
Ni: 0.5237 0.5237 0.5296  2 Fe 2.58, 5 In 2.76-2.81
In: 0.7678 0.7678 0.6924  4 Fe 2.76-2.77, 3 Ni 2.81-2.89, 3 In 2.98-3.04
In: 0.9822 0.9822 0.0574  4 Ni 2.76-2.77, 3 Fe 2.82-2.89, 3 In 2.98-3.04
Fe: 0.2263 0.2263 0.2206  2 Ni 2.58, 5 In 2.76-2.82